A plane-wave DFT calculation with PBE was carried out for a relaxed structure of LiCr2Mo.

E_tot ... -7.500 eV per atom
Energy above the lowest structure with this stoichiometry ... 0.202 eV/atom
ΔE_f ... 48.01 kJ per mole of atoms
Magnetization ... 4.3 μB per cell

```
data_LiCr2Mo
_space_group_name_H-M_alt 'R 3 m'
_space_group_IT_number 160
_space_group_name_Hall 'R 3 -2"'
_cell_length_a 2.6442
_cell_length_b 2.6442
_cell_length_c 27.5259
_cell_angle_alpha 90.00
_cell_angle_beta 90.00
_cell_angle_gamma 120.00
loop_
_atom_site_label
_atom_site_type_symbol
_atom_site_fract_x
_atom_site_fract_y
_atom_site_fract_z
Li1 Li 0.0000 0.0000 0.0000
Cr1 Cr 0.0000 0.0000 0.2476
Cr2 Cr 0.0000 0.0000 0.5090
Mo1 Mo 0.0000 0.0000 0.7594
```

A plane-wave DFT calculation with PBE was carried out for a relaxed structure of TbNd2Si3Pt12.

E_tot ... -6.265 eV per atom
Magnetization ... 0.0 μB per cell
E_form (uncorrected) ... -0.547 eV/atom

```
data_TbNd2Si3Pt12
_space_group_name_H-M_alt 'R -3 m'
_space_group_IT_number 166
_space_group_name_Hall '-R 3 2"'
_cell_length_a 8.3438
_cell_length_b 8.3438
_cell_length_c 18.1331
_cell_angle_alpha 90.00
_cell_angle_beta 90.00
_cell_angle_gamma 120.00
loop_
_atom_site_label
_atom_site_type_symbol
_atom_site_fract_x
_atom_site_fract_y
_atom_site_fract_z
Tb1 Tb 0.0000 0.0000 0.0000
Nd1 Nd 0.0000 0.0000 0.4013
Si1 Si 0.0000 0.5000 0.5000
Pt1 Pt 0.0315 0.5157 0.3702
Pt2 Pt 0.0339 0.5169 0.8659
```

- Which value of magnetization does entry 1 give?
  4.3 μB per cell

- Which of these has the highest magnetization?
  LiCr2Mo

- What is the formula in the second record?
  TbNd2Si3Pt12

- Among the records above, which one has the lowest magnetization?
  TbNd2Si3Pt12